[1]
Entry from the Alexandria database: a PBEsol-optimized structure of CeGe2Ir2 (SCAN).

The structure in extended XYZ format:
```
10
Lattice="-3.3741 0.9703 -2.2974 -1.8786 -3.5310 1.2677 -3.9387 4.9181 7.8616" Properties=species:S:1:pos:R:3 pbc="T T T"
Ce -2.6900 1.7375 0.8532
Ce -3.8750 1.9002 6.4936
Ge -5.1062 4.7545 5.6759
Ge -1.4588 -1.1168 1.6709
Ge -1.9693 2.4590 3.9308
Ge -4.5957 1.1787 3.4160
Ir 0.0000 0.0000 0.0000
Ir -2.3999 0.0582 3.5492
Ir -2.6264 -1.2804 -0.5148
Ir -4.1652 3.5795 3.7976
```

## Properties
Crystal system: tetragonal
Symmetry: P4/nmm, No. 129
ΔE_f (eV per atom): -0.967

[2]
Entry from the Alexandria database: a PBEsol-optimized structure of CeGeIr (SCAN).

The structure in extended XYZ format:
```
12
Lattice="-1.3859 -4.1126 0.2325 6.3439 -2.0365 1.7911 -1.7424 1.0004 7.3089" Properties=species:S:1:pos:R:3 pbc="T T T"
Ce 1.3395 -1.2159 6.7863
Ce -1.4752 -2.8116 2.4031
Ce 4.6909 -2.3372 6.9294
Ce 1.8761 -3.9328 2.5462
Ge -1.5258 -2.5235 7.1972
Ge 2.2312 -3.8776 5.6389
Ge 4.7414 -2.6252 2.1353
Ge 0.9845 -1.2711 3.6936
Ir 2.3297 -3.7650 8.2181
Ir -0.2875 -3.0653 4.9953
Ir 3.5031 -2.0835 4.3372
Ir 0.8860 -1.3838 1.1143
```

## Properties
Crystal system: orthorhombic
Symmetry: Pnma, No. 62
ΔE_f (eV per atom): -1.036

[3]
Entry from the Alexandria database: a PBEsol-optimized structure of CeGe3Ir (SCAN).

The structure in extended XYZ format:
```
5
Lattice="4.3649 0.0000 0.0000 0.0000 4.3649 0.0000 -2.1825 -2.1825 4.9781" Properties=species:S:1:pos:R:3 pbc="T T T"
Ce 0.0000 0.0000 4.2142
Ge 2.1825 0.0000 1.5470
Ge 0.0000 2.1825 1.5470
Ge 2.1825 2.1825 4.9715
Ir 2.1825 2.1825 2.5980
```

## Properties
Crystal system: tetragonal
Symmetry: I4mm, No. 107
ΔE_f (eV per atom): -0.808

[4]
Entry from the Alexandria database: a PBEsol-optimized structure of Li2Ce2Ge3 (SCAN).

The structure in extended XYZ format:
```
14
Lattice="-0.5818 2.6854 -3.4219 1.8196 -4.9709 -4.2103 -8.4752 -4.0286 1.0935" Properties=species:S:1:pos:R:3 pbc="T T T"
Li -3.5233 0.0077 -2.2090
Li -3.7141 -6.3218 -4.3297
Li -4.3970 -4.4560 -2.7494
Li -2.8403 -1.8581 -3.7893
Ce -1.3786 -4.5687 -3.3510
Ce -5.8587 -1.7453 -3.1877
Ce -6.8177 -4.8034 -5.4245
Ce -0.4197 -1.5107 -1.1142
Ge -3.4059 -2.4256 -1.3245
Ge -3.8315 -3.8884 -5.2142
Ge -0.3697 -1.8016 -4.1651
Ge -6.8676 -4.5125 -2.3736
Ge -7.5431 -2.6671 -0.8106
Ge 0.3058 -3.6470 -5.7281
```

## Properties
Crystal system: orthorhombic
Symmetry: Cmcm, No. 63
ΔE_f (eV per atom): -0.694

[5]
Entry from the Alexandria database: a PBEsol-optimized structure of Ce2MgGe2 (SCAN).

The structure in extended XYZ format:
```
10
Lattice="4.3060 0.0000 0.0000 0.0000 7.3021 0.0000 0.0000 0.0000 7.3021" Properties=species:S:1:pos:R:3 pbc="T T T"
Ce 2.1530 2.3594 6.0104
Ce 2.1530 6.0104 4.9427
Ce 2.1530 1.2917 2.3594
Ce 2.1530 4.9427 1.2917
Mg 0.0000 0.0000 0.0000
Mg 0.0000 3.6511 3.6511
Ge 0.0000 2.7529 0.8982
Ge 0.0000 4.5493 6.4039
Ge 0.0000 0.8982 4.5493
Ge 0.0000 6.4039 2.7529
```

## Properties
Crystal system: tetragonal
Symmetry: P4/mbm, No. 127
ΔE_f (eV per atom): -0.730

[6]
Entry from the Alexandria database: a PBEsol-optimized structure of Ce6Mg23Ge (SCAN).

The structure in extended XYZ format:
```
30
Lattice="10.1316 0.0000 0.0000 5.0658 8.7742 0.0000 5.0658 2.9247 8.2724" Properties=species:S:1:pos:R:3 pbc="T T T"
Ce 7.1373 4.1207 6.5810
Ce 13.1259 4.1207 6.5810
Ce 10.1316 2.3920 1.6914
Ce 13.1259 7.5782 1.6914
Ce 7.1373 7.5782 1.6914
Ce 10.1316 9.3070 6.5810
Mg 15.1974 6.8668 6.8787
Mg 15.1974 8.7742 4.1811
Mg 16.8493 9.7279 6.8787
Mg 13.5455 9.7279 6.8787
Mg 5.0658 4.8322 1.3937
Mg 5.0658 2.9247 4.0913
Mg 3.4139 1.9710 1.3937
Mg 6.7177 1.9710 1.3937
Mg 10.1316 3.0128 5.1391
Mg 10.1316 5.8495 1.1274
Mg 12.5883 7.2678 5.1391
Mg 7.6749 7.2678 5.1391
Mg 10.1316 8.6862 3.1333
Mg 10.1316 5.8495 7.1450
Mg 7.6749 4.4311 3.1333
Mg 12.5882 4.4311 3.1333
Mg 7.5987 4.3871 0.0000
Mg 2.5329 4.3871 0.0000
Mg 5.0658 5.8495 4.1362
Mg 2.5329 1.4624 4.1362
Mg 7.5987 1.4624 4.1362
Mg 5.0658 0.0000 0.0000
Mg 10.1316 5.8495 4.1362
Ge 0.0000 0.0000 0.0000
```

## Properties
Crystal system: cubic
Symmetry: Fm-3m, No. 225
ΔE_f (eV per atom): -0.106

[7]
Entry from the Alexandria database: a PBEsol-optimized structure of CeMn2Ge2 (SCAN).

The structure in extended XYZ format:
```
5
Lattice="-0.1107 -0.6035 -3.8802 3.8527 -0.7675 0.0095 -2.8992 -4.4653 2.7658" Properties=species:S:1:pos:R:3 pbc="T T T"
Ge -0.7790 -3.9025 0.6292
Ge 1.6218 -1.9338 -1.7341
Mn 1.4123 -2.9592 0.4199
Mn -0.5694 -2.8772 -1.5249
Ce 0.0000 0.0000 0.0000
```

## Properties
Crystal system: tetragonal
Symmetry: I4/mmm, No. 139
ΔE_f (eV per atom): -0.576

[8]
Entry from the Alexandria database: a PBEsol-optimized structure of CeNiGe2 (SCAN).

The structure in extended XYZ format:
```
8
Lattice="4.1623 0.0000 0.0000 0.0000 4.1543 0.0000 0.0000 2.0772 8.1797" Properties=species:S:1:pos:R:3 pbc="T T T"
Ni 3.1217 2.0772 2.9672
Ni 1.0406 4.1543 5.2125
Ge 1.0406 4.1543 7.4962
Ge 3.1217 2.0772 0.6835
Ge 1.0406 2.0772 4.0928
Ge 3.1217 4.1543 4.0869
Ce 3.1217 2.0772 6.4099
Ce 1.0406 4.1543 1.7698
```

## Properties
Crystal system: orthorhombic
Symmetry: Cmcm, No. 63
ΔE_f (eV per atom): -0.803

Number 1: spin magnetization 0.135 μB per atom. Number 2: spin magnetization 0.000 μB per atom. Number 3: spin magnetization 0.178 μB per atom. Number 4: spin magnetization 0.248 μB per atom. Number 5: spin magnetization 0.343 μB per atom. Number 6: spin magnetization 0.258 μB per atom. Number 7: spin magnetization 0.760 μB per atom. Number 8: spin magnetization 0.147 μB per atom.